Below is an optimized crystal structure of SrZnGeAu2, with properties calculated at the GGA-PBE level.

Lattice parameters (Å, degrees): 4.4854 4.5333 10.9056 90.00 90.00 90.00
Last column: nearest neighbours and their distance in Å.
Space group Imm2 (No. 44)
Unique sites:
Sr  0.0000  0.0000  0.0000 [2 per cell]  8 Au 3.39-3.68, 4 Zn 3.48-3.60, 4 Ge 3.48
Zn  0.0000  0.5000  0.7437 [2 per cell]  2 Ge 2.64, 2 Au 2.72
Ge  0.0000  0.0000  0.3720 [2 per cell]  3 Au 2.55, 2 Zn 2.64
Au  0.0000  0.0000  0.6057 [2 per cell]  1 Ge 2.55, 2 Zn 2.72, 2 Au 2.84
Au  0.0000  0.5000  0.2654 [2 per cell]  2 Ge 2.55, 2 Au 2.84

Electronic total energy   -3.310 eV/atom
Volume   221.75 Å³ per cell
Magnetic moment   0.00 μB per cell
ΔE_f   -46.7 kJ/mol of atoms
D(E_F)   3.38 states/eV/cell